Arrangement one

Computed, not measured: a geometry-optimized Sm8Pd2Pt structure at the PBE level of DFT.

Geometry as POSCAR:
```
Sm8Pd2Pt
1.0
5.188 0.000 0.000
0.000 6.782 0.096
-2.594 -2.818 8.680
Sm Pd Pt
8 2 1
direct
0.591 0.457 0.182
0.029 0.791 0.059
0.203 0.342 0.406
0.671 0.999 0.341
0.409 0.543 0.818
0.329 0.001 0.659
0.971 0.209 0.941
0.797 0.658 0.594
0.175 0.739 0.350
0.825 0.261 0.650
0.500 0.000 0.000
```

Values from the calculation:
The value obtained for the density of states at the Fermi level is 1.049 states/eV per atom. The value obtained for the calculated volume is 307 Å³/f.u.



Arrangement two

Computed, not measured: a geometry-optimized Sm8Pd2Pt structure at the PBE level of DFT.

Geometry as POSCAR:
```
Sm8Pd2Pt
1.0
-4.288 2.418 3.802
-4.033 -0.491 -6.664
1.312 -6.886 3.432
Sm Pt Pd
8 1 2
direct
0.589 0.088 0.347
0.983 0.206 0.795
0.807 0.645 0.645
0.362 0.656 0.914
0.362 0.914 0.656
0.167 0.363 0.363
0.589 0.347 0.088
0.983 0.795 0.206
0.180 0.010 0.010
0.489 0.695 0.315
0.489 0.315 0.695
```

Values from the calculation:
The value obtained for the density of states at the Fermi level is 1.296 states/eV per atom. The value obtained for the calculated volume is 324 Å³/f.u.



What is the least stable structure shown above? It is arrangement two.